Record 1
A relaxed structure of SrAsPt. Source: the Open Quantum Materials Database, functional PBE.

Cell lengths 7.4437, 7.4437, 4.1513 Å; angles 90.00, 90.00, 120.00 degrees
With the nearest neighbours (Å) after each atom.
Space group P-62m (No. 189)
Symmetry-distinct sites (fractional):
Sr1 0.0000 0.5936 0.0000 x3  5 Pt 3.02-3.07, 6 As 3.26-3.37
As1 0.0000 0.2559 0.5000 x3  4 Pt 2.81-2.82
Pt1 0.0000 0.0000 0.0000 x1  6 As 2.82, 3 Sr 3.02
Pt2 0.3333 0.6667 0.5000 x2  3 As 2.81, 6 Sr 3.07

## Properties
crystal system	hexagonal
total energy	-4.875	eV per atom
calculated volume	199	Å³ per cell

***

Record 2
A relaxed structure of SrAsPt. Source: the Open Quantum Materials Database, functional PBE.

Cell lengths 6.6911, 6.6911, 6.6911 Å; angles 90.00, 90.00, 90.00 degrees
With the nearest neighbours (Å) after each atom.
Space group F-43m (No. 216)
Symmetry-distinct sites (fractional):
Sr1 0.0000 0.0000 0.0000 x4  4 Pt 2.90
As1 0.0000 0.0000 0.5000 x4  4 Pt 2.90
Pt1 0.2500 0.2500 0.7500 x4  4 As 2.90, 4 Sr 2.90

## Properties
crystal system	cubic
total energy	-4.683	eV per atom
calculated volume	300	Å³ per cell

***

Record 3
A relaxed structure of SrAsPt. Source: the Open Quantum Materials Database, functional PBE.

Cell lengths 4.2823, 4.2823, 9.0796 Å; angles 90.00, 90.00, 120.00 degrees
With the nearest neighbours (Å) after each atom.
Space group P6_3/mmc (No. 194)
Symmetry-distinct sites (fractional):
Sr1 0.0000 0.0000 0.0000 x2  6 As 3.36, 6 Pt 3.36
As1 0.3333 0.6667 0.2500 x2  3 Pt 2.47
Pt1 0.3333 0.6667 0.7500 x2  3 As 2.47

## Properties
crystal system	hexagonal
total energy	-5.151	eV per atom
calculated volume	144	Å³ per cell

***

Record 4
A relaxed structure of SrAsPt. Source: the Open Quantum Materials Database, functional PBE.

Cell lengths 6.9064, 6.9064, 6.9064 Å; angles 90.00, 90.00, 90.00 degrees
With the nearest neighbours (Å) after each atom.
Space group F-43m (No. 216)
Symmetry-distinct sites (fractional):
Sr1 0.0000 0.0000 0.0000 x4  4 As 2.99, 4 Pt 2.99
As1 0.2500 0.2500 0.7500 x4  4 Sr 2.99
Pt1 0.2500 0.2500 0.2500 x4  4 Sr 2.99

## Properties
crystal system	cubic
total energy	-3.999	eV per atom
calculated volume	329	Å³ per cell

***

Record 5
A relaxed structure of SrAsPt. Source: the Open Quantum Materials Database, functional PBE.

Cell lengths 7.0027, 7.0027, 4.5321 Å; angles 90.00, 90.00, 120.00 degrees
With the nearest neighbours (Å) after each atom.
Space group P-62m (No. 189)
Symmetry-distinct sites (fractional):
Sr1 0.0000 0.5760 0.0000 x3  5 As 2.97-3.08, 2 Pt 3.29
As1 0.0000 0.0000 0.0000 x1  6 Pt 2.80, 3 Sr 2.97
As2 0.3333 0.6667 0.5000 x2  3 Pt 2.75
Pt1 0.0000 0.2346 0.5000 x3  4 As 2.75-2.80, 2 Pt 2.85

## Properties
crystal system	hexagonal
total energy	-4.963	eV per atom
calculated volume	192	Å³ per cell

***

Record 6
A relaxed structure of SrAsPt. Source: the Open Quantum Materials Database, functional PBE.

Cell lengths 5.0748, 5.0748, 5.9986 Å; angles 90.00, 90.00, 120.00 degrees
With the nearest neighbours (Å) after each atom.
Space group P6_3/mmc (No. 194)
Symmetry-distinct sites (fractional):
Sr1 0.3333 0.6667 0.2500 x2  5 As 2.93-3.00
As1 0.3333 0.6667 0.7500 x2  5 Sr 2.93-3.00
Pt1 0.0000 0.0000 0.0000 x2  2 Pt 3.00, 6 As 3.29, 6 Sr 3.29

## Properties
crystal system	hexagonal
total energy	-4.438	eV per atom
calculated volume	134	Å³ per cell